# Li14CaPd (PBE, relaxed)
data_Li14CaPd
_space_group_name_H-M_alt 'A m m 2'
_space_group_IT_number 38
_cell_length_a 9.8352
_cell_length_b 5.8003
_cell_length_c 11.4105
_cell_angle_alpha 90.00
_cell_angle_beta 90.00
_cell_angle_gamma 90.00
loop_
_space_group_symop_operation_xyz
'x,y,z'
'-x,-y,z'
'-x,y,z'
'x,-y,z'
'x,y+1/2,z+1/2'
'-x,-y+1/2,z+1/2'
'-x,y+1/2,z+1/2'
'x,-y+1/2,z+1/2'
loop_
_atom_site_label
_atom_site_type_symbol
_atom_site_fract_x
_atom_site_fract_y
_atom_site_fract_z
_atom_site_occupancy
Li1 Li 0.0000 0.0000 0.0000 1
Li2 Li 0.0000 0.0000 0.4688 1
Li3 Li 0.0000 0.2496 0.2307 1
Li4 Li 0.2202 0.0000 0.8490 1
Li5 Li 0.2512 0.2407 0.0825 1
Li6 Li 0.2901 0.0000 0.3141 1
Li7 Li 0.5000 0.2422 0.9537 1
Ca1 Ca 0.5000 0.0000 0.7036 1
Pd1 Pd 0.5000 0.0000 0.1544 1
# * calculated total energy: -69.58 eV per cell
# * Fermi-level density of states: 14.7 states/eV/cell
# * ΔE_f: -0.050 eV/atom
# * magnetic moment: 0.000 μB/f.u.
# * mass density: 1.243 g cm⁻³